Entry from OQMD via LeMat-Bulk: crystalline BeSiSnOs at its relaxed geometry (PBE).

Summary:
Its total energy is -5.51 eV per atom. The calculation puts the calculated density at 9.8 g/cm3.

```
BeSiSnOs
1.0
0.000 3.085 3.085
3.085 0.000 3.085
3.085 3.085 0.000
Si Sn Be Os
1 1 1 1
Cartesian
1.543 1.543 1.543
0.000 0.000 0.000
4.628 4.628 4.628
3.085 3.085 3.085
```